A plane-wave DFT calculation with PBE-GGA was carried out for a relaxed Sm6Tm3Th crystal.

It has space group P2_1/c (No. 14), with a = 4.953 Å, b = 11.176 Å, c = 12.328 Å, α = 90.00°, β = 90.08° and γ = 90.00°. Symmetry generates all atoms from Sm at (0.000, 0.200, 0.004), Sm at (0.001, 0.007, 0.784), Sm at (0.499, 0.161, 0.357), Tm at (0.499, 0.655, 0.866), Tm at (0.500, 0.000, 0.000) and Th at (0.000, 0.000, 0.500).

For the energy of formation from the pure elements, the calculation gives 2.2 eV per formula unit. The calculated volume comes out at 682.4 Å³ per cell. The relative energy among the computed polymorphs is 13.3 kJ per mole of atoms.